Here is a geometry-optimized CeNdGe structure from Alexandria. Energies are from PBE-GGA.

Computed properties:
- D(E_F) (states/eV per atom) = 2.192
- formation enthalpy at 0 K (eV per atom) = -0.31
- crystal system = trigonal

Cell: 4.7442 4.7442 4.1465 Å, 90.00 90.00 120.00°
Space group P3m1 (No. 156)
Inequivalent atoms, fractional coordinates:
Ce  0.0000  0.0000  0.0000 (multiplicity 1)
Nd  0.6667  0.3333  0.5818 (multiplicity 1)
Ge  0.3333  0.6667  0.2892 (multiplicity 1)

***

Here is a geometry-optimized Ce3NdGe3 structure from Alexandria. Energies are from PBE-GGA.

Computed properties:
- D(E_F) (states/eV per atom) = 1.986
- formation enthalpy at 0 K (eV per atom) = -0.47
- crystal system = hexagonal

Cell: 8.8877 8.8877 5.3917 Å, 90.00 90.00 120.00°
Space group P6_3/m (No. 176)
Inequivalent atoms, fractional coordinates:
Ce  0.0012  0.7414  0.2500 (multiplicity 6)
Nd  0.3333  0.6667  0.2500 (multiplicity 2)
Ge  0.0535  0.6282  0.7500 (multiplicity 6)

***

Here is a geometry-optimized Ce5Nd5Ge6 structure from Alexandria. Energies are from PBE-GGA.

Computed properties:
- D(E_F) (states/eV per atom) = 1.768
- formation enthalpy at 0 K (eV per atom) = -0.67
- crystal system = orthorhombic

Cell: 6.308 15.348 8.910 Å, 90.00 90.00 90.00°
Space group Amm2 (No. 38)
Inequivalent atoms, fractional coordinates:
Ce  0.000  0.000  0.000 (multiplicity 2)
Ce  0.218  0.166  0.239 (multiplicity 8)
Nd  0.000  0.126  0.615 (multiplicity 4)
Nd  0.500  0.000  0.479 (multiplicity 2)
Nd  0.500  0.129  0.869 (multiplicity 4)
Ge  0.000  0.000  0.358 (multiplicity 2)
Ge  0.000  0.190  0.932 (multiplicity 4)
Ge  0.500  0.000  0.126 (multiplicity 2)
Ge  0.500  0.194  0.546 (multiplicity 4)

***

Here is a geometry-optimized Ce3NdGe4 structure from Alexandria. Energies are from PBE-GGA.

Computed properties:
- D(E_F) (states/eV per atom) = 1.945
- formation enthalpy at 0 K (eV per atom) = -0.59
- crystal system = orthorhombic

Cell: 4.020 6.597 16.180 Å, 90.00 90.00 90.00°
Space group Immm (No. 71)
Inequivalent atoms, fractional coordinates:
Ce  0.000  0.000  0.000 (multiplicity 2)
Ce  0.000  0.500  0.197 (multiplicity 4)
Nd  0.000  0.000  0.500 (multiplicity 2)
Ge  0.000  0.310  0.368 (multiplicity 8)